# 1
Entry from Alexandria: a relaxed structure of PmSiPt4 (PBE-GGA).

a b c (Å): 3.9791 15.5514 6.7846
angles (deg): 90.00 90.00 90.00
With the nearest neighbours (Å) after each atom.
Space group Cmcm (No. 63)
Inequivalent atoms, fractional coordinates:
Pm1 0.0000 0.1028 0.2500  9 Pt 2.90-3.10, 2 Si 3.19
Si1 0.0000 0.2367 0.7500  7 Pt 2.36-2.56
Pt1 0.0000 0.0836 0.7500  1 Si 2.38
Pt2 0.0000 0.3160 0.0459  3 Si 2.36-2.56
Pt3 0.0000 0.5000 0.0000  6 Pt 2.88-2.92, 4 Pm 3.06

Values from the calculation:
Energy relative to the elements, uncorrected ... -0.9147 eV per atom
Total magnetic moment ... 0.00 μB/cell
Final energy ... -6.6375 eV/atom
Excess energy over the best structure of this formula in the dataset ... 0.0 meV per atom

***

# 2
Entry from Alexandria: a relaxed structure of Cs2SbTe (PBE-GGA).

a b c (Å): 8.1897 10.6733 12.1443
angles (deg): 90.00 127.55 90.00
With the nearest neighbours (Å) after each atom.
Space group P2_1/c (No. 14)
Inequivalent atoms, fractional coordinates:
Cs1 0.1117 0.2294 0.0764  3 Te 3.83-3.99, 2 Sb 4.03-4.09, 1 Cs 4.12
Cs2 0.3395 0.6730 0.8860  2 Sb 3.77-4.14, 3 Te 3.81-3.90, 1 Cs 4.12
Sb1 0.2906 0.0246 0.8822  1 Te 2.85, 1 Sb 2.87
Te1 0.3682 0.5522 0.1928  1 Sb 2.85

Values from the calculation:
Energy relative to the elements, uncorrected ... -0.6220 eV per atom
Total magnetic moment ... 0.00 μB/cell
Final energy ... -2.8648 eV/atom
Excess energy over the best structure of this formula in the dataset ... 0.0 meV per atom

***

# 3
Entry from Alexandria: a relaxed structure of CeIr2Rh5 (PBE-GGA).

a b c (Å): 3.8166 7.6986 9.3024
angles (deg): 90.00 90.00 90.00
With the nearest neighbours (Å) after each atom.
Space group Immm (No. 71)
Inequivalent atoms, fractional coordinates:
Ce1 0.0000 0.0000 0.0000  4 Ir 2.83
Ir1 0.0000 0.5000 0.2758  7 Rh 2.55-2.64, 2 Ce 2.83
Rh1 0.0000 0.1819 0.3507  3 Ir 2.55-2.64, 4 Rh 2.74-2.80
Rh2 0.0000 0.5000 0.0000  2 Ir 2.57, 8 Rh 2.74

Values from the calculation:
Formation enthalpy at 0 K ... -0.49 eV per formula unit
Total magnetic moment ... 0.00 μB/cell
Final energy ... -7.6125 eV/atom

***

- What is the total magnetic moment in the second record?
  0.00 μB/cell